[1]
TlPtRh2: optimized geometry, PBE-GGA.

Cell: 2.957 2.957 7.589 Å, 90.00 90.00 90.00°
Space group P4/mmm (No. 123)
Asymmetric unit:
Tl (0.000, 0.000, 0.000) x1
Pt (0.000, 0.000, 0.500) x1
Rh (0.500, 0.500, 0.268) x2

Computed properties:
Fermi-level density of states in states/eV/cell: 5.62
Uncorrected energy in eV per atom: -5.617
Calculated formation energy in eV per atom: 0.16
Theoretical density in Mg/m³: 15.15
Total magnetic moment in μB per formula unit: 0.00

=====

[2]
TlPt2Rh: optimized geometry, PBE-GGA.

Cell: 4.084 4.084 8.089 Å, 90.00 90.00 90.00°
Space group I4/mmm (No. 139)
Asymmetric unit:
Tl (0.000, 0.000, 0.000) x2
Pt (0.000, 0.500, 0.250) x4
Rh (0.000, 0.000, 0.500) x2

Computed properties:
Fermi-level density of states in states/eV/cell: 10.03
Uncorrected energy in eV per atom: -5.377
Calculated formation energy in eV per atom: 0.07
Theoretical density in Mg/m³: 17.17
Total magnetic moment in μB per formula unit: 0.93

=====

[3]
TlPtRh2: optimized geometry, PBE-GGA.

Cell: 9.152 2.941 5.023 Å, 90.00 100.72 90.00°
Space group C2/m (No. 12)
Asymmetric unit:
Tl (0.000, 0.000, 0.000) x2
Pt (0.000, 0.500, 0.500) x2
Rh (0.249, 0.000, 0.729) x4

Computed properties:
Fermi-level density of states in states/eV/cell: 9.83
Uncorrected energy in eV per atom: -5.647
Calculated formation energy in eV per atom: 0.13
Theoretical density in Mg/m³: 15.13
Total magnetic moment in μB per formula unit: 0.00

=====

[4]
TlPt2Rh: optimized geometry, PBE-GGA.

Cell: 2.968 2.968 7.796 Å, 90.00 90.00 90.00°
Space group P4/mmm (No. 123)
Asymmetric unit:
Tl (0.000, 0.000, 0.000) x1
Pt (0.500, 0.500, 0.269) x2
Rh (0.000, 0.000, 0.500) x1

Computed properties:
Fermi-level density of states in states/eV/cell: 4.49
Uncorrected energy in eV per atom: -5.287
Calculated formation energy in eV per atom: 0.16
Theoretical density in Mg/m³: 16.86
Total magnetic moment in μB per formula unit: 1.33

=====

[5]
TlPt2Rh2: optimized geometry, PBE-GGA.

Cell: 7.145 7.145 3.400 Å, 90.00 90.00 90.00°
Space group P4/mbm (No. 127)
Asymmetric unit:
Tl (0.000, 0.000, 0.000) x2
Pt (0.157, 0.343, 0.500) x4
Rh (0.133, 0.633, 0.000) x4

Computed properties:
Fermi-level density of states in states/eV/cell: 14.98
Uncorrected energy in eV per atom: -5.617
Calculated formation energy in eV per atom: 0.21
Theoretical density in Mg/m³: 15.31
Total magnetic moment in μB per formula unit: 0.00

=====

[6]
TlPt2Rh: optimized geometry, PBE-GGA.

Cell: 2.9805 2.9805 26.7276 Å, 90.00 90.00 120.00°
Space group R3m (No. 160, hexagonal axes)
Asymmetric unit:
Tl (0.0000, 0.0000, 0.0000) x3
Pt (0.0000, 0.0000, 0.2456) x3
Pt (0.0000, 0.0000, 0.4966) x3
Rh (0.0000, 0.0000, 0.7509) x3

Computed properties:
Fermi-level density of states in states/eV/cell: 16.83
Uncorrected energy in eV per atom: -5.221
Calculated formation energy in eV per atom: 0.23
Theoretical density in Mg/m³: 16.90
Total magnetic moment in μB per formula unit: 0.00

=====

[7]
TlPt2Rh: optimized geometry, PBE-GGA.

Cell: 4.865 4.865 2.879 Å, 90.00 90.00 90.00°
Space group P4/mmm (No. 123)
Asymmetric unit:
Tl (0.000, 0.000, 0.000) x1
Pt (0.000, 0.500, 0.500) x2
Rh (0.500, 0.500, 0.000) x1

Computed properties:
Fermi-level density of states in states/eV/cell: 3.39
Uncorrected energy in eV per atom: -5.315
Calculated formation energy in eV per atom: 0.13
Theoretical density in Mg/m³: 17.00
Total magnetic moment in μB per formula unit: 0.00

=====

[8]
TlPtRh2: optimized geometry, PBE-GGA.

Cell: 6.423 6.423 6.423 Å, 90.00 90.00 90.00°
Space group Fm-3m (No. 225)
Asymmetric unit:
Tl (0.000, 0.000, 0.000) x4
Pt (0.000, 0.000, 0.500) x4
Rh (0.250, 0.250, 0.250) x8

Computed properties:
Fermi-level density of states in states/eV/cell: 20.62
Uncorrected energy in eV per atom: -5.635
Calculated formation energy in eV per atom: 0.14
Theoretical density in Mg/m³: 15.17
Total magnetic moment in μB per formula unit: 0.96

=====

[9]
Tl2PtRh: optimized geometry, PBE-GGA.

Cell: 3.2769 3.2769 25.4048 Å, 90.00 90.00 120.00°
Space group R-3m (No. 166, hexagonal axes)
Asymmetric unit:
Tl (0.0000, 0.0000, 0.2478) x6
Pt (0.0000, 0.0000, 0.0000) x3
Rh (0.0000, 0.0000, 0.5000) x3

Computed properties:
Fermi-level density of states in states/eV/cell: 9.06
Uncorrected energy in eV per atom: -4.372
Calculated formation energy in eV per atom: 0.16
Theoretical density in Mg/m³: 14.90
Total magnetic moment in μB per formula unit: 0.00

=====

[10]
Tl2PtRh: optimized geometry, PBE-GGA.

Cell: 3.138 4.518 5.640 Å, 90.00 90.00 90.00°
Space group Pmm2 (No. 25)
Asymmetric unit:
Tl (0.000, 0.000, 0.000) x1
Tl (0.500, 0.500, 0.396) x1
Pt (0.000, 0.000, 0.512) x1
Rh (0.500, 0.500, 0.895) x1

Computed properties:
Fermi-level density of states in states/eV/cell: 1.45
Uncorrected energy in eV per atom: -4.358
Calculated formation energy in eV per atom: 0.17
Theoretical density in Mg/m³: 14.68
Total magnetic moment in μB per formula unit: 0.00

=====

[11]
TlPt2Rh: optimized geometry, PBE-GGA.

Cell: 2.9506 2.9506 27.6656 Å, 90.00 90.00 120.00°
Space group R-3m (No. 166, hexagonal axes)
Asymmetric unit:
Tl (0.0000, 0.0000, 0.0000) x3
Pt (0.0000, 0.0000, 0.2449) x6
Rh (0.0000, 0.0000, 0.5000) x3

Computed properties:
Fermi-level density of states in states/eV/cell: 13.57
Uncorrected energy in eV per atom: -5.202
Calculated formation energy in eV per atom: 0.25
Theoretical density in Mg/m³: 16.66
Total magnetic moment in μB per formula unit: 1.56

=====

[12]
Tl2PtRh: optimized geometry, PBE-GGA.

Cell: 4.451 4.451 7.670 Å, 90.00 90.00 90.00°
Space group I4/mmm (No. 139)
Asymmetric unit:
Tl (0.000, 0.500, 0.250) x4
Pt (0.000, 0.000, 0.000) x2
Rh (0.000, 0.000, 0.500) x2

Computed properties:
Fermi-level density of states in states/eV/cell: 3.06
Uncorrected energy in eV per atom: -4.413
Calculated formation energy in eV per atom: 0.12
Theoretical density in Mg/m³: 15.44
Total magnetic moment in μB per formula unit: 0.00